Density functional theory data (GGA-PBE) for Cs2KLiAg after structural relaxation.

Calculated values
Total energy: -0.052 hartree per atom
DOS at the Fermi energy: 5.05 states/eV/cell
ρ: 2.28 g cm⁻³
Formation enthalpy at 0 K: 0.10 eV per atom
Total moment: 0.00 μB/atom

Cell lengths 7.4178, 7.4178, 5.5512 Å; angles 90.00, 90.00, 90.00 degrees
Space group P4/mmm (No. 123)
Asymmetric unit:
Cs 0.0000 0.5000 0.0000
K 0.0000 0.0000 0.5000
Li 0.5000 0.5000 0.5000
Ag 0.5000 0.5000 0.0000

=====

Density functional theory data (GGA-PBE) for ZrAgSn2 after structural relaxation.

Calculated values
Total energy: -0.177 hartree per atom
DOS at the Fermi energy: 13.45 states/eV/cell
ρ: 7.67 g cm⁻³
Formation enthalpy at 0 K: 0.04 eV per atom
Total moment: 0.00 μB/atom

Cell lengths 7.7623, 7.7623, 6.2762 Å; angles 90.00, 90.00, 90.00 degrees
Space group I-42d (No. 122)
Asymmetric unit:
Zr 0.0000 0.0000 0.0000
Ag 0.0000 0.0000 0.5000
Sn 0.2240 0.2500 0.6250

=====

Density functional theory data (GGA-PBE) for BeHPb2 after structural relaxation.

Calculated values
Total energy: -0.109 hartree per atom
DOS at the Fermi energy: 9.56 states/eV/cell
ρ: 9.39 g cm⁻³
Total moment: 0.00 μB/atom

Cell lengths 6.6962, 6.6962, 6.6962 Å; angles 90.00, 90.00, 90.00 degrees
Space group Fm-3m (No. 225)
Asymmetric unit:
Be 0.0000 0.0000 0.0000
H 0.0000 0.0000 0.5000
Pb 0.2500 0.2500 0.2500

=====

Density functional theory data (GGA-PBE) for CsBaH6Pd2 after structural relaxation.

Calculated values
Total energy: -0.133 hartree per atom
DOS at the Fermi energy: 11.78 states/eV/cell
ρ: 4.96 g cm⁻³
Total moment: 0.00 μB/atom

Cell lengths 8.1913, 10.9187, 7.4595 Å; angles 90.00, 100.78, 90.00 degrees
Space group C2/c (No. 15)
Asymmetric unit:
Cs 0.0000 0.0832 0.2500
Ba 0.0000 0.3352 0.7500
H 0.0314 0.3942 0.4019
H 0.1558 0.1488 0.6164
H 0.2256 0.1452 0.9253
Pd 0.1663 0.3714 0.2398

=====

Look up the DOS at the Fermi energy of the third one. 9.56 states/eV/cell

=====

What is the formula in the first record? Cs2KLiAg